(1)
Crystalline Cs2GeAu at its relaxed geometry. Source: Alexandria via LeMat-Bulk, functional PBE-GGA.

Results
Total magnetization (μB/f.u.): 0.00
Formation energy (eV/atom): -0.1998
Volume (Å³/cell): 856

Cell lengths 10.608, 8.398, 9.828 Å; angles 90.00, 102.14, 90.00 degrees
Space group P2_1/c (No. 14)
Inequivalent atoms, fractional coordinates:
Cs 0.245 0.214 0.456 [4 per cell]
Cs 0.246 0.714 0.155 [4 per cell]
Ge 0.000 0.062 0.117 [4 per cell]
Au 0.000 0.148 0.695 [4 per cell]

(2)
Crystalline CsGeAu3 at its relaxed geometry. Source: Alexandria via LeMat-Bulk, functional PBE-GGA.

Results
Total magnetization (μB/f.u.): 0.00
Formation energy (eV/atom): -0.0955
Volume (Å³/cell): 532

Cell lengths 14.364, 4.369, 8.537 Å; angles 90.00, 97.24, 90.00 degrees
Space group C2/m (No. 12)
Inequivalent atoms, fractional coordinates:
Cs 0.130 0.000 0.499 [4 per cell]
Ge 0.010 0.500 0.836 [4 per cell]
Au 0.094 0.000 0.941 [4 per cell]
Au 0.170 0.500 0.171 [4 per cell]
Au 0.208 0.500 0.843 [4 per cell]